Mg2Al2Ag7, optimized geometry, DFT PBE; calculated formation energy = -0.022 eV per atom; distance to the lowest polymorph of the same formula = 67 meV per atom; crystal system = monoclinic; total magnetization = 0.00 μB/atom
1.0
2.8950 -4.4159 0.0000
2.8950 4.4159 0.0000
-0.2911 0.0000 7.8816
Mg Al Ag
2 2 7
Direct
0.2308 0.7692 0.0000 Mg
0.7692 0.2308 0.0000 Mg
0.3199 0.3199 0.1659 Al
0.6801 0.6801 0.8341 Al
0.0862 0.6592 0.6559 Ag
0.2151 0.2151 0.8127 Ag
0.3408 0.9138 0.3441 Ag
0.5000 0.5000 0.5000 Ag
0.6592 0.0862 0.6559 Ag
0.7849 0.7849 0.1873 Ag
0.9138 0.3408 0.3441 Ag